DFT (SCAN) results for a crystal of Li4BeTl relaxed with PBEsol.

Output
SG	F-43m, No. 216
formation energy	0.754	eV/f.u.
M_tot	1.08	μB/cell

Unit cell a=5.041 b=5.041 c=5.041 alpha=60.00 beta=60.00 gamma=60.00
Atoms (fractional coordinates):
Be: 0.000 0.000 0.000
Li: 0.375 0.375 0.375
Li: 0.375 0.375 0.876
Li: 0.876 0.375 0.375
Li: 0.375 0.876 0.375
Tl: 0.750 0.750 0.750

DFT (SCAN) results for a crystal of TaMo relaxed with PBEsol.

Output
SG	P2/m, No. 10
formation energy	-0.287	eV/f.u.
M_tot	0.00	μB/cell

Unit cell a=4.514 b=5.307 c=5.537 alpha=100.39 beta=90.00 gamma=90.00
Atoms (fractional coordinates):
Mo: 0.000 0.247 0.119
Mo: 0.500 0.500 0.000
Mo: 0.000 0.753 0.881
Mo: 0.500 0.500 0.500
Ta: 0.500 0.993 0.750
Ta: 0.000 0.260 0.624
Ta: 0.000 0.740 0.376
Ta: 0.500 0.007 0.250

DFT (SCAN) results for a crystal of Cd3PdCl relaxed with PBEsol.

Output
SG	Pm-3m, No. 221
ΔE_f (raw)	-187	meV per atom
M_tot	0.00	μB/cell

Unit cell a=5.111 b=5.111 c=5.111 alpha=90.00 beta=90.00 gamma=90.00
Atoms (fractional coordinates):
Cl: 0.500 0.500 0.500
Pd: 0.000 0.000 0.000
Cd: 0.000 0.500 0.000
Cd: 0.000 0.000 0.500
Cd: 0.500 0.000 0.000

DFT (SCAN) results for a crystal of KBe2Cr relaxed with PBEsol.

Output
SG	Fm-3m, No. 225
formation energy	4.862	eV/f.u.
M_tot	3.82	μB/cell
E above lowest polymorph	330	meV/atom

Unit cell a=4.608 b=4.608 c=4.608 alpha=60.00 beta=60.00 gamma=60.00
Atoms (fractional coordinates):
Cr: 0.500 0.500 0.500
K: 0.000 0.000 0.000
Be: 0.250 0.250 0.250
Be: 0.750 0.750 0.750

DFT (SCAN) results for a crystal of MnCrAu2O relaxed with PBEsol.

Output
SG	P4/mmm, No. 123
ΔE_f (raw)	-218	meV per atom
M_tot	7.79	μB/cell

Unit cell a=3.391 b=4.951 c=4.951 alpha=90.00 beta=90.00 gamma=90.00
Atoms (fractional coordinates):
Cr: 0.500 0.500 0.500
Mn: 0.000 0.000 0.000
Au: 0.000 0.000 0.500
Au: 0.000 0.500 0.000
O: 0.500 0.000 0.000

DFT (SCAN) results for a crystal of LiB2MoC relaxed with PBEsol.

Output
SG	P4/mmm, No. 123
formation energy	6.439	eV/f.u.
M_tot	0.00	μB/cell

Unit cell a=3.429 b=3.429 c=3.585 alpha=90.00 beta=90.00 gamma=90.00
Atoms (fractional coordinates):
Mo: 0.500 0.500 0.500
B: 0.000 0.500 0.000
B: 0.500 0.000 0.000
C: 0.000 0.000 0.000
Li: 0.000 0.000 0.500

DFT (SCAN) results for a crystal of BaSi2SnI relaxed with PBEsol.

Output
SG	P4/mmm, No. 123
ΔE_f (raw)	791	meV per atom
M_tot	0.00	μB/cell

Unit cell a=5.394 b=5.394 c=5.726 alpha=90.00 beta=90.00 gamma=90.00
Atoms (fractional coordinates):
I: 0.000 0.000 0.000
Si: 0.000 0.500 0.000
Si: 0.500 0.000 0.000
Ba: 0.500 0.500 0.500
Sn: 0.000 0.000 0.500

DFT (SCAN) results for a crystal of Na2B2As relaxed with PBEsol.

Output
SG	I4/mmm, No. 139
formation energy	2.728	eV/f.u.
M_tot	0.00	μB/cell

Unit cell a=2.785 b=2.785 c=9.512 alpha=98.42 beta=98.42 gamma=90.00
Atoms (fractional coordinates):
Na: 0.377 0.377 0.755
Na: 0.623 0.623 0.245
As: 0.000 0.000 0.000
B: 0.250 0.750 0.500
B: 0.750 0.250 0.500

DFT (SCAN) results for a crystal of ZnBP2H4NO8 relaxed with PBEsol.

Output
SG	P-1, No. 2
M_tot	0.00	μB/cell

Unit cell a=7.438 b=7.598 c=7.821 alpha=61.24 beta=77.14 gamma=65.17
Atoms (fractional coordinates):
Zn: 0.809 0.750 0.544
Zn: 0.191 0.250 0.456
B: 0.696 0.086 0.997
B: 0.304 0.914 0.003
P: 0.535 0.092 0.700
P: 0.024 0.728 0.167
P: 0.976 0.272 0.833
P: 0.465 0.908 0.300
H: 0.397 0.486 0.749
H: 0.603 0.514 0.251
H: 0.852 0.431 0.235
H: 0.148 0.569 0.765
H: 0.733 0.347 0.141
H: 0.261 0.751 0.615
H: 0.267 0.653 0.859
H: 0.739 0.249 0.385
N: 0.731 0.386 0.253
N: 0.269 0.614 0.747
O: 0.161 0.131 0.968
O: 0.006 0.786 0.331
O: 0.277 0.005 0.401
O: 0.581 0.180 0.823
O: 0.419 0.820 0.177
O: 0.839 0.869 0.032
O: 0.994 0.214 0.669
O: 0.723 0.995 0.599
O: 0.948 0.506 0.775
O: 0.052 0.494 0.225
O: 0.790 0.235 0.968
O: 0.210 0.765 0.032
O: 0.616 0.711 0.448
O: 0.384 0.289 0.552
O: 0.554 0.087 0.163
O: 0.446 0.913 0.837

DFT (SCAN) results for a crystal of Ba2SnSe3F2 relaxed with PBEsol.

Output
SG	Pnma, No. 62
ΔE_f (raw)	-2330	meV per atom
M_tot	0.00	μB/cell

Unit cell a=6.365 b=6.416 c=19.691 alpha=90.00 beta=90.00 gamma=90.00
Atoms (fractional coordinates):
Ba: 0.755 0.505 0.427
Ba: 0.255 0.995 0.073
Ba: 0.745 0.005 0.573
Ba: 0.245 0.495 0.927
Ba: 0.245 0.495 0.573
Ba: 0.745 0.005 0.927
Ba: 0.255 0.995 0.427
Ba: 0.755 0.505 0.073
Sn: 0.859 0.409 0.750
Sn: 0.359 0.091 0.750
Sn: 0.641 0.909 0.250
Sn: 0.141 0.591 0.250
Se: 0.260 0.486 0.134
Se: 0.260 0.484 0.750
Se: 0.240 0.984 0.250
Se: 0.740 0.516 0.250
Se: 0.760 0.014 0.366
Se: 0.240 0.986 0.866
Se: 0.740 0.514 0.634
Se: 0.740 0.514 0.866
Se: 0.260 0.486 0.366
Se: 0.760 0.014 0.134
Se: 0.760 0.016 0.750
Se: 0.240 0.986 0.634
F: 0.502 0.746 0.998
F: 0.002 0.754 0.502
F: 0.498 0.254 0.498
F: 0.502 0.746 0.502
F: 0.002 0.754 0.998
F: 0.998 0.246 0.498
F: 0.498 0.254 0.002
F: 0.998 0.246 0.002

DFT (SCAN) results for a crystal of Y2ZrAl relaxed with PBEsol.

Output
SG	P4/mmm, No. 123
formation energy	-0.583	eV/f.u.
M_tot	0.00	μB/cell

Unit cell a=3.386 b=3.386 c=8.559 alpha=90.00 beta=90.00 gamma=90.00
Atoms (fractional coordinates):
Y: 0.000 0.000 0.731
Y: 0.000 0.000 0.269
Al: 0.500 0.500 0.500
Zr: 0.500 0.500 0.000

DFT (SCAN) results for a crystal of BAs2SeN relaxed with PBEsol.

Output
SG	P4/mmm, No. 123
ΔE_f (raw)	1699	meV per atom
M_tot	2.16	μB/cell

Unit cell a=4.401 b=4.267 c=4.267 alpha=90.00 beta=90.00 gamma=90.00
Atoms (fractional coordinates):
As: 0.000 0.000 0.500
As: 0.000 0.500 0.000
B: 0.000 0.000 0.000
Se: 0.500 0.000 0.000
N: 0.500 0.500 0.500

Record order is preserved below.
Uncorrected energy: -14.25 -50.88 -26.59 -7.64 -36.45 -11.16 -25.66 -8.15 -8.60 -25.12 -23.68 -13.74 eV per atom